Entry 1:
Density functional theory data (PBE) for an optimized crystal structure of Ta2TcBr.

Properties
Density (g/cm3): 12.7
Uncorrected formation energy (meV/atom): 890
N(E_F) (states/eV/cell): 5.424
Electronic total energy (eV/atom): -8.05
Total moment (μB per formula unit): 0.00
SG: No. 216

Cell lengths 4.633, 4.633, 4.633 Å; angles 60.00, 60.00, 60.00 degrees
Element x y z (fractional)
Tc1 0.250 0.250 0.250
Br1 0.500 0.500 0.500
Ta1 0.000 0.000 0.000
Ta2 0.750 0.750 0.750



Entry 2:
Density functional theory data (PBE) for an optimized crystal structure of LiCd.

Properties
Density (g/cm3): 4.8
ΔH_f (0 K) (eV/atom): -0.0769
N(E_F) (states/eV/cell): 15.388
Electronic total energy (eV/atom): -1.49
Total moment (μB per formula unit): 0.00
SG: No. 70

Cell lengths 7.940, 7.928, 10.540 Å; angles 90.00, 90.00, 90.00 degrees
Element x y z (fractional)
Li1 0.176 0.000 0.000
Li2 0.824 0.000 0.000
Li3 0.074 0.750 0.250
Li4 0.426 0.750 0.250
Li5 0.176 0.500 0.500
Li6 0.824 0.500 0.500
Li7 0.074 0.250 0.750
Li8 0.426 0.250 0.750
Li9 0.676 0.000 0.500
Li10 0.324 0.000 0.500
Li11 0.574 0.750 0.750
Li12 0.926 0.750 0.750
Li13 0.676 0.500 0.000
Li14 0.324 0.500 0.000
Li15 0.574 0.250 0.250
Li16 0.926 0.250 0.250
Cd1 0.000 0.684 0.000
Cd2 0.000 0.316 0.000
Cd3 0.250 0.066 0.250
Cd4 0.250 0.434 0.250
Cd5 0.000 0.184 0.500
Cd6 0.000 0.816 0.500
Cd7 0.250 0.566 0.750
Cd8 0.250 0.934 0.750
Cd9 0.500 0.684 0.500
Cd10 0.500 0.316 0.500
Cd11 0.750 0.066 0.750
Cd12 0.750 0.434 0.750
Cd13 0.500 0.184 0.000
Cd14 0.500 0.816 0.000
Cd15 0.750 0.566 0.250
Cd16 0.750 0.934 0.250



Entry 3:
Density functional theory data (PBE) for an optimized crystal structure of BeVCrGe2.

Properties
Density (g/cm3): 6.0
ΔH_f (0 K) (eV/atom): 0.8464
N(E_F) (states/eV/cell): 5.238
Electronic total energy (eV/atom): -5.49
Total moment (μB per formula unit): 0.00
SG: No. 123

Cell lengths 4.241, 3.926, 4.241 Å; angles 90.00, 90.00, 90.00 degrees
Element x y z (fractional)
Cr1 0.000 0.500 0.000
Ge1 0.000 0.000 0.500
Ge2 0.500 0.000 0.000
Be1 0.000 0.000 0.000
V1 0.500 0.500 0.500



Entry 4:
Density functional theory data (PBE) for an optimized crystal structure of Cd2RuPt.

Properties
Density (g/cm3): 12.5
ΔH_f (0 K) (eV/atom): 0.1129
N(E_F) (states/eV/cell): 3.845
Electronic total energy (eV/atom): -4.17
Total moment (μB per formula unit): 0.96
SG: No. 47

Cell lengths 4.192, 4.181, 3.961 Å; angles 90.00, 90.00, 90.00 degrees
Each line ends with the local moment (μB).
Element x y z (fractional)
Cd1 0.000 0.000 0.000  -0.01
Cd2 0.500 0.500 0.000  -0.01
Pt1 0.500 0.000 0.500  0.06
Ru1 0.000 0.500 0.500  0.90



Entry 5:
Density functional theory data (PBE) for an optimized crystal structure of Pr3AlAg4.

Properties
Density (g/cm3): 6.9
ΔH_f (0 K) (eV/atom): -0.0911
N(E_F) (states/eV/cell): 4.108
Electronic total energy (eV/atom): -3.78
Total moment (μB per formula unit): 0.00
SG: No. 71

Cell lengths 3.601, 9.250, 8.060 Å; angles 125.02, 102.91, 90.00 degrees
Element x y z (fractional)
Pr1 0.212 0.212 0.423
Pr2 0.788 0.788 0.577
Pr3 0.000 0.500 0.000
Al1 0.500 0.000 0.000
Ag1 0.385 0.139 0.771
Ag2 0.615 0.861 0.229
Ag3 0.615 0.369 0.229
Ag4 0.385 0.631 0.771



Entry 6:
Density functional theory data (PBE) for an optimized crystal structure of ZrZn2Ru.

Properties
Density (g/cm3): 8.4
ΔH_f (0 K) (eV/atom): -0.2891
N(E_F) (states/eV/cell): 1.767
Electronic total energy (eV/atom): -5.38
Total moment (μB per formula unit): 0.00
SG: No. 139

Cell lengths 5.005, 5.005, 5.005 Å; angles 133.90, 133.85, 67.28 degrees
Element x y z (fractional)
Ru1 0.750 0.250 0.500
Zn1 0.000 0.000 0.000
Zn2 0.500 0.500 0.000
Zr1 0.250 0.750 0.500



Entry 7:
Density functional theory data (PBE) for an optimized crystal structure of Mg12Cd7Pb.

Properties
Density (g/cm3): 3.7
ΔH_f (0 K) (eV/atom): 0.1768
N(E_F) (states/eV/cell): 5.078
Electronic total energy (eV/atom): -1.29
Total moment (μB per formula unit): 0.00
SG: No. 204

Cell lengths 9.074, 9.074, 9.074 Å; angles 109.47, 109.47, 109.47 degrees
Element x y z (fractional)
Mg1 0.267 0.158 0.425
Mg2 0.267 0.842 0.109
Mg3 0.733 0.842 0.575
Mg4 0.733 0.158 0.891
Mg5 0.425 0.267 0.158
Mg6 0.891 0.733 0.158
Mg7 0.575 0.733 0.842
Mg8 0.109 0.267 0.842
Mg9 0.842 0.109 0.267
Mg10 0.158 0.891 0.733
Mg11 0.158 0.425 0.267
Mg12 0.842 0.575 0.733
Cd1 0.500 0.000 0.500
Cd2 0.500 0.500 0.000
Cd3 0.000 0.500 0.500
Cd4 0.000 0.000 0.500
Cd5 0.500 0.000 0.000
Cd6 0.500 0.500 0.500
Cd7 0.000 0.500 0.000
Pb1 0.000 0.000 0.000



Entry 8:
Density functional theory data (PBE) for an optimized crystal structure of LiY2AuC.

Properties
Density (g/cm3): 6.6
ΔH_f (0 K) (eV/atom): -0.3537
N(E_F) (states/eV/cell): 3.409
Electronic total energy (eV/atom): -5.82
Total moment (μB per formula unit): 0.00
SG: No. 123

Cell lengths 4.897, 4.897, 4.135 Å; angles 90.00, 90.00, 90.00 degrees
Element x y z (fractional)
Y1 0.000 0.500 0.000
Y2 0.500 0.000 0.000
C1 0.000 0.000 0.000
Au1 0.500 0.500 0.500
Li1 0.000 0.000 0.500



Entry 9:
Density functional theory data (PBE) for an optimized crystal structure of BeAlGe.

Properties
Density (g/cm3): 3.9
ΔH_f (0 K) (eV/atom): 0.3099
N(E_F) (states/eV/cell): 1.822
Electronic total energy (eV/atom): -3.72
Total moment (μB per formula unit): 0.00
SG: No. 166

Cell lengths 4.370, 4.370, 6.114 Å; angles 69.06, 69.06, 60.00 degrees
Element x y z (fractional)
Al1 0.381 0.381 0.857
Al2 0.619 0.619 0.143
Ge1 0.222 0.222 0.334
Ge2 0.778 0.778 0.666
Be1 0.074 0.074 0.779
Be2 0.926 0.926 0.221



Entry 10:
Density functional theory data (PBE) for an optimized crystal structure of PmEr2Pt2.

Properties
Density (g/cm3): 11.2
ΔH_f (0 K) (eV/atom): -1.0383
N(E_F) (states/eV/cell): 6.545
Electronic total energy (eV/atom): -6.23
Total moment (μB per formula unit): 0.00
SG: No. 11

Cell lengths 4.629, 5.404, 10.954 Å; angles 109.65, 90.00, 90.00 degrees
Element x y z (fractional)
Pm1 0.250 0.798 0.216
Pm2 0.750 0.202 0.784
Er1 0.250 0.776 0.884
Er2 0.750 0.224 0.116
Er3 0.250 0.285 0.529
Er4 0.750 0.715 0.471
Pt1 0.250 0.859 0.633
Pt2 0.750 0.141 0.367
Pt3 0.250 0.321 0.975
Pt4 0.750 0.679 0.025



Entry 11:
Density functional theory data (PBE) for an optimized crystal structure of SiIrN2F.

Properties
Density (g/cm3): 9.4
Uncorrected formation energy (meV/atom): 338
N(E_F) (states/eV/cell): 2.978
Electronic total energy (eV/atom): -6.22
Total moment (μB per formula unit): 0.00
SG: No. 123

Cell lengths 3.745, 3.745, 3.373 Å; angles 90.00, 90.00, 90.00 degrees
Element x y z (fractional)
N1 0.000 0.500 0.000
N2 0.500 0.000 0.000
Si1 0.000 0.000 0.000
Ir1 0.500 0.500 0.500
F1 0.000 0.000 0.500



Entry 12:
Density functional theory data (PBE) for an optimized crystal structure of Pr2NdSi.

Properties
Density (g/cm3): 5.6
Uncorrected formation energy (meV/atom): -138
N(E_F) (states/eV/cell): 5.962
Electronic total energy (eV/atom): -5.08
Total moment (μB per formula unit): 0.00
SG: No. 160

Cell lengths 4.083, 4.083, 9.698 Å; angles 77.85, 77.85, 60.00 degrees
Element x y z (fractional)
Pr1 0.061 0.061 0.816
Pr2 0.272 0.272 0.185
Nd1 0.501 0.501 0.496
Si1 0.666 0.666 0.002



Entry 13:
Density functional theory data (PBE) for an optimized crystal structure of Re2HgCl.

Properties
Density (g/cm3): 15.3
Uncorrected formation energy (meV/atom): 1627
N(E_F) (states/eV/cell): 4.495
Electronic total energy (eV/atom): -5.13
Total moment (μB per formula unit): 0.00
SG: No. 123

Cell lengths 4.596, 4.596, 3.122 Å; angles 90.00, 90.00, 90.00 degrees
Element x y z (fractional)
Cl1 0.500 0.000 0.500
Hg1 0.000 0.500 0.500
Re1 0.000 0.000 0.000
Re2 0.500 0.500 0.000



Entry 14:
Density functional theory data (PBE) for an optimized crystal structure of LuHPd2.

Properties
Density (g/cm3): 10.5
N(E_F) (states/eV/cell): 2.225
Electronic total energy (eV/atom): -4.56
Total moment (μB per formula unit): 0.00
SG: No. 166

Cell lengths 3.084, 3.084, 7.676 Å; angles 78.41, 78.41, 60.00 degrees
Element x y z (fractional)
H1 0.500 0.500 0.500
Lu1 0.000 0.000 0.000
Pd1 0.117 0.117 0.650
Pd2 0.883 0.883 0.350



Entry 15:
Density functional theory data (PBE) for an optimized crystal structure of Pr4Er2Tm5.

Properties
Density (g/cm3): 8.1
ΔH_f (0 K) (eV/atom): 0.1072
N(E_F) (states/eV/cell): 15.684
Electronic total energy (eV/atom): -4.49
Total moment (μB per formula unit): 0.00
SG: No. 12

Cell lengths 5.638, 6.636, 9.955 Å; angles 90.61, 106.45, 90.00 degrees
Element x y z (fractional)
Pr1 0.307 0.927 0.614
Pr2 0.978 0.714 0.956
Pr3 0.693 0.073 0.386
Pr4 0.022 0.286 0.044
Er1 0.401 0.442 0.802
Er2 0.599 0.558 0.198
Tm1 0.790 0.598 0.581
Tm2 0.210 0.402 0.419
Tm3 0.869 0.117 0.739
Tm4 0.500 0.000 0.000
Tm5 0.131 0.883 0.261



Entry 16:
Density functional theory data (PBE) for an optimized crystal structure of AgWBr6.

Properties
Density (g/cm3): 5.4
Uncorrected formation energy (meV/atom): -382
N(E_F) (states/eV/cell): 4.627
Electronic total energy (eV/atom): -3.61
Total moment (μB per formula unit): 1.01
SG: No. 148

Cell lengths 6.707, 6.706, 7.204 Å; angles 62.25, 62.26, 60.00 degrees
Each line ends with the local moment (μB).
Element x y z (fractional)
Ag1 0.500 0.500 0.500  0.00
W1 0.000 0.000 0.000  0.81
Br1 0.064 0.393 0.764  0.00
Br2 0.779 0.064 0.764  0.00
Br3 0.607 0.221 0.236  0.00
Br4 0.221 0.936 0.236  0.00
Br5 0.936 0.607 0.236  0.00
Br6 0.393 0.779 0.764  0.00



Entry 17:
Density functional theory data (PBE) for an optimized crystal structure of AlAs2Pb.

Properties
Density (g/cm3): 6.7
ΔH_f (0 K) (eV/atom): 0.1320
N(E_F) (states/eV/cell): 2.279
Electronic total energy (eV/atom): -4.06
Total moment (μB per formula unit): 0.00
SG: No. 71

Cell lengths 5.436, 5.436, 5.436 Å; angles 138.00, 113.66, 81.69 degrees
Element x y z (fractional)
Pb1 0.750 0.250 0.500
As1 0.053 0.053 0.000
As2 0.447 0.447 0.000
Al1 0.250 0.750 0.500



Entry 18:
Density functional theory data (PBE) for an optimized crystal structure of Nd2RhAu.

Properties
Density (g/cm3): 9.8
ΔH_f (0 K) (eV/atom): -0.7622
N(E_F) (states/eV/cell): 5.732
Electronic total energy (eV/atom): -5.80
Total moment (μB per formula unit): 0.00
SG: No. 11

Cell lengths 4.563, 5.864, 7.947 Å; angles 110.66, 90.00, 90.00 degrees
Element x y z (fractional)
Nd1 0.750 0.232 0.425
Nd2 0.250 0.768 0.575
Nd3 0.250 0.785 0.063
Nd4 0.750 0.215 0.937
Rh1 0.250 0.324 0.210
Rh2 0.750 0.676 0.790
Au1 0.750 0.670 0.290
Au2 0.250 0.330 0.710



Entry 19:
Density functional theory data (PBE) for an optimized crystal structure of ErSi2.

Properties
Density (g/cm3): 7.1
Uncorrected formation energy (meV/atom): -290
N(E_F) (states/eV/cell): 4.658
Electronic total energy (eV/atom): -5.43
Total moment (μB per formula unit): 0.00
SG: No. 227

Cell lengths 5.286, 5.286, 5.286 Å; angles 60.00, 60.00, 60.00 degrees
Element x y z (fractional)
Si1 0.125 0.625 0.625
Si2 0.625 0.125 0.625
Si3 0.625 0.625 0.625
Si4 0.625 0.625 0.125
Er1 0.000 0.000 0.000
Er2 0.250 0.250 0.250



Entry 20:
Density functional theory data (PBE) for an optimized crystal structure of AcTb4PmHo2.

Properties
Density (g/cm3): 8.3
ΔH_f (0 K) (eV/atom): 0.0391
N(E_F) (states/eV/cell): 11.682
Electronic total energy (eV/atom): -4.53
Total moment (μB per formula unit): 0.00
SG: No. 47

Cell lengths 5.136, 5.108, 11.415 Å; angles 63.38, 90.00, 90.00 degrees
Element x y z (fractional)
Ac1 0.500 0.500 0.000
Tb1 0.000 0.756 0.744
Tb2 0.000 0.244 0.256
Tb3 0.500 0.742 0.257
Tb4 0.500 0.258 0.743
Pm1 0.000 0.500 0.500
Ho1 0.000 0.000 0.000
Ho2 0.500 0.000 0.500



Entry 21:
Density functional theory data (PBE) for an optimized crystal structure of KZr2TlAu.

Properties
Density (g/cm3): 7.8
ΔH_f (0 K) (eV/atom): 1.6375
N(E_F) (states/eV/cell): 7.153
Electronic total energy (eV/atom): -3.13
Total moment (μB per formula unit): 0.00
SG: No. 123

Cell lengths 5.088, 5.132, 5.088 Å; angles 90.00, 90.00, 90.00 degrees
Element x y z (fractional)
Tl1 0.500 0.500 0.500
Au1 0.000 0.500 0.000
K1 0.000 0.000 0.000
Zr1 0.000 0.000 0.500
Zr2 0.500 0.000 0.000



Entry 22:
Density functional theory data (PBE) for an optimized crystal structure of SrNbNF2.

Properties
Density (g/cm3): 3.9
Uncorrected formation energy (meV/atom): -542
N(E_F) (states/eV/cell): 4.390
Electronic total energy (eV/atom): -5.31
Total moment (μB per formula unit): 2.00
SG: No. 123

Cell lengths 4.356, 4.356, 5.273 Å; angles 90.00, 90.00, 90.00 degrees
Each line ends with the local moment (μB).
Element x y z (fractional)
Sr1 0.000 0.000 0.000  -0.02
Nb1 0.500 0.500 0.500  2.57
N1 0.000 0.000 0.500  -0.79
F1 0.000 0.500 0.000  0.01
F2 0.500 0.000 0.000  0.01



Entry 23:
Density functional theory data (PBE) for an optimized crystal structure of Li2RhN.

Properties
Density (g/cm3): 3.9
Uncorrected formation energy (meV/atom): -159
N(E_F) (states/eV/cell): 0.710
Electronic total energy (eV/atom): -5.04
Total moment (μB per formula unit): 0.00
SG: No. 38

Cell lengths 3.207, 4.248, 4.614 Å; angles 117.41, 90.00, 90.00 degrees
Element x y z (fractional)
Li1 0.000 0.912 0.825
Li2 0.500 0.255 0.509
Rh1 0.000 0.606 0.211
N1 0.500 0.722 0.444



Entry 24:
Density functional theory data (PBE) for an optimized crystal structure of Al3TcH.

Properties
Density (g/cm3): 2.8
N(E_F) (states/eV/cell): 1.852
Electronic total energy (eV/atom): -4.33
Total moment (μB per formula unit): 0.93
SG: No. 221

Cell lengths 4.768, 4.768, 4.768 Å; angles 90.00, 90.00, 90.00 degrees
Each line ends with the local moment (μB).
Element x y z (fractional)
H1 0.500 0.500 0.500  0.33
Tc1 0.000 0.000 0.000  0.15
Al1 0.000 0.500 0.000  0.00
Al2 0.000 0.000 0.500  0.00
Al3 0.500 0.000 0.000  0.02



Entry 25:
Density functional theory data (PBE) for an optimized crystal structure of Zn2Cd3.

Properties
Density (g/cm3): 7.6
ΔH_f (0 K) (eV/atom): 0.0845
N(E_F) (states/eV/cell): 1.500
Electronic total energy (eV/atom): -0.97
Total moment (μB per formula unit): 0.00
SG: No. 166

Cell lengths 11.317, 11.317, 11.317 Å; angles 16.48, 16.48, 16.48 degrees
Element x y z (fractional)
Zn1 0.398 0.398 0.398
Zn2 0.602 0.602 0.602
Cd1 0.000 0.000 0.000
Cd2 0.204 0.204 0.204
Cd3 0.796 0.796 0.796